A plane-wave DFT calculation with PBE was carried out for a relaxed CePr10Nd4 crystal.

a b c (Å): 11.6002 11.6002 8.1046
angles (deg): 90.00 90.00 90.00
Last column: nearest neighbours and their distance in Å.
Space group I4/mmm (No. 139)
Asymmetric unit:
1 Ce 0.0000 0.0000 0.0000  8 Pr 3.39, 4 Nd 3.72
2 Pr 0.0000 0.2110 0.2896  4 Pr 3.37-3.46, 1 Ce 3.39, 4 Nd 3.53-3.67
3 Pr 0.0000 0.5000 0.2500  4 Pr 3.37
4 Nd 0.2267 0.2267 0.0000  8 Pr 3.53-3.67, 1 Ce 3.72

Results
Energy relative to the elements, eV/atom: 0.221
Calculated density, g/cm3: 6.5

A plane-wave DFT calculation with PBE was carried out for a relaxed CePr4Nd4 crystal.

a b c (Å): 11.0336 11.0336 5.2129
angles (deg): 90.00 90.00 90.00
Last column: nearest neighbours and their distance in Å.
Space group I4/mmm (No. 139)
Asymmetric unit:
1 Ce 0.0000 0.0000 0.0000  4 Pr 3.64, 8 Nd 3.65
2 Pr 0.0000 0.3301 0.0000  1 Ce 3.64, 6 Nd 3.66-3.71, 5 Pr 3.72-3.75
3 Nd 0.1636 0.1636 0.5000  4 Nd 3.61-3.75, 2 Ce 3.65, 6 Pr 3.66-3.71

Results
Energy relative to the elements, eV/atom: 0.043
Calculated density, g/cm3: 6.7